# TlP2AuCl

Crystalline TlP2AuCl at its relaxed geometry (GGA-PBE, Alexandria).

a = 5.2181 Å, b = 5.2181 Å, c = 5.2601 Å
α = 90.00°, β = 90.00°, γ = 90.00°
Atoms (fractional coordinates):
Tl 0.0000 0.0000 0.0000
P 0.0000 0.5000 0.0000
P 0.5000 0.0000 0.0000
Au 0.5000 0.5000 0.5000
Cl 0.0000 0.0000 0.5000

Results
* E above lowest polymorph: 709 meV/atom
* E_tot: -12.530 eV per formula unit
* space group: No. 123
* DOS(E_F): 3.46 states/eV/cell
* formation energy from raw total energies: 1.156 eV per atom